No. 1
Here is Sm10Se19 after structural relaxation from OQMD via LeMat-Bulk. Energies are from PBE.

Output
Volume, Å³/atom: 24.6
Calculated total energy, Ry/atom: -0.4105

The structure in POSCAR format:
```
Sm10Se19
1.0
9.214 0.000 0.000
0.000 9.214 0.000
0.000 0.000 16.838
Se Sm
38 20
Cartesian
4.334 6.184 4.210
5.056 7.809 9.601
3.029 8.941 12.630
0.273 7.636 4.210
7.636 4.334 4.209
1.378 0.482 9.484
8.765 6.011 9.601
2.303 6.910 15.765
0.583 8.098 12.641
6.011 5.056 15.657
6.910 6.910 12.629
5.089 7.836 1.065
8.098 4.024 12.617
4.158 1.404 7.238
7.809 8.765 15.657
8.731 5.985 1.065
1.404 0.449 1.182
3.491 8.631 4.222
7.836 8.731 7.354
2.303 2.303 4.210
8.941 1.577 12.628
4.024 5.723 12.641
5.723 0.583 12.617
8.631 1.116 4.197
6.910 2.303 9.493
1.577 4.879 12.630
6.910 2.303 1.074
5.985 5.089 7.354
2.303 6.910 7.346
4.879 3.029 12.628
4.125 1.378 15.774
1.116 5.190 4.222
6.184 0.273 4.209
5.190 3.491 4.197
3.229 4.125 9.484
3.203 4.158 1.182
0.482 3.229 15.774
0.449 3.203 7.238
2.303 6.910 10.389
8.811 6.015 14.831
6.015 5.009 10.426
8.725 5.969 6.621
5.009 7.805 14.831
1.408 0.402 6.412
7.805 8.811 10.426
7.852 8.725 1.798
5.095 7.852 6.621
0.489 3.245 10.217
6.910 2.303 14.868
3.199 4.204 6.412
4.204 1.408 2.007
3.245 4.118 15.041
5.969 5.095 1.798
2.303 6.910 1.970
0.402 3.199 2.007
1.362 0.489 15.041
4.118 1.362 10.217
6.910 2.303 6.449
```

No. 2
Here is Rb2FeNiBr6 after structural relaxation from OQMD via LeMat-Bulk. Energies are from PBE.

Output
Volume, Å³/atom: 27.9
Calculated total energy, Ry/atom: -0.2552

The structure in POSCAR format:
```
Rb2FeNiBr6
1.0
3.498 -6.176 -1.848
3.724 -3.764 5.075
-2.516 -6.479 2.340
Ni Br Fe Rb
1 6 1 2
Cartesian
2.353 -8.209 2.783
2.923 -7.196 0.477
4.778 -9.071 3.004
-0.072 -7.348 2.562
3.036 -5.995 3.924
1.783 -9.222 5.090
1.670 -10.423 1.642
0.000 0.000 0.000
1.176 -4.105 1.392
3.529 -12.314 4.175
```

No. 3
Here is TmSiAg after structural relaxation from OQMD via LeMat-Bulk. Energies are from PBE.

Output
Volume, Å³/atom: 19.6
Calculated total energy, Ry/atom: -0.3359

The structure in POSCAR format:
```
TmSiAg
1.0
-5.454 4.350 0.932
0.264 -6.110 3.485
2.002 1.848 3.088
Ag Si Tm
3 3 3
Cartesian
-1.642 -2.623 2.634
1.001 0.924 1.544
-3.548 0.864 1.783
-1.419 1.132 0.242
0.069 -1.589 0.907
-3.840 -1.302 3.268
-2.240 3.509 2.098
-1.106 0.210 3.337
1.158 -2.706 3.615
```

No. 4
Here is CoB4Mo after structural relaxation from OQMD via LeMat-Bulk. Energies are from PBE.

Output
Volume, Å³/atom: 8.3
Calculated total energy, Ry/atom: -0.5533

The structure in POSCAR format:
```
CoB4Mo
1.0
-1.497 2.582 3.240
1.497 -2.582 3.240
1.497 2.582 -3.240
B Co Mo
4 1 1
Cartesian
1.497 0.881 1.631
0.000 3.463 1.608
1.497 -0.881 1.631
0.000 1.701 1.608
0.000 0.000 0.000
0.000 0.000 3.240
```

No. 5
Here is Co2Re after structural relaxation from OQMD via LeMat-Bulk. Energies are from PBE.

Output
Volume, Å³/atom: 12.8
Calculated total energy, Ry/atom: -0.6211

The structure in POSCAR format:
```
Co2Re
1.0
0.538 3.990 2.652
-1.664 0.491 -4.498
-7.026 -0.728 2.519
Re Co
4 8
Cartesian
-5.888 3.123 1.223
-2.264 0.630 -0.550
-5.344 0.955 2.116
-2.808 2.798 -1.443
-5.088 2.877 3.383
-3.513 -0.364 1.260
-0.792 2.695 0.321
-7.360 1.058 0.352
-3.064 0.876 -2.710
-4.950 1.307 -0.512
-3.202 2.446 1.185
0.000 0.000 0.000
```

No. 6
Here is TmNbB4 after structural relaxation from OQMD via LeMat-Bulk. Energies are from PBE.

Output
Volume, Å³/atom: 10.2
Calculated total energy, Ry/atom: -0.5633

The structure in POSCAR format:
```
TmNbB4
1.0
-1.658 -0.979 2.483
1.336 -2.096 -1.923
5.940 0.107 4.009
B Tm Nb
4 1 1
Cartesian
1.728 -1.699 0.484
0.730 -1.327 1.953
4.887 -1.642 2.616
3.889 -1.270 4.085
2.970 0.053 2.004
0.000 0.000 0.000
```

No. 7
Here is MgNbBOs after structural relaxation from OQMD via LeMat-Bulk. Energies are from PBE.

Output
Volume, Å³/atom: 14.1
Calculated total energy, Ry/atom: -0.5172

The structure in POSCAR format:
```
MgNbBOs
1.0
0.000 3.047 3.047
3.047 0.000 3.047
3.047 3.047 0.000
B Mg Nb Os
1 1 1 1
Cartesian
3.047 3.047 3.047
4.570 4.570 4.570
1.523 1.523 1.523
0.000 0.000 0.000
```

No. 8
Here is BeFeCoB after structural relaxation from OQMD via LeMat-Bulk. Energies are from PBE.

Output
Volume, Å³/atom: 8.7
Calculated total energy, Ry/atom: -0.4675

The structure in POSCAR format:
```
BeFeCoB
1.0
0.000 2.594 2.594
2.594 0.000 2.594
2.594 2.594 0.000
Be Fe Co B
1 1 1 1
Cartesian
2.594 2.594 2.594
0.000 0.000 0.000
3.891 3.891 3.891
1.297 1.297 1.297
```

No. 9
Here is TaZnCuSn after structural relaxation from OQMD via LeMat-Bulk. Energies are from PBE.

Output
Volume, Å³/atom: 17.3
Calculated total energy, Ry/atom: -0.3523

The structure in POSCAR format:
```
TaZnCuSn
1.0
0.000 3.258 3.258
3.258 0.000 3.258
3.258 3.258 0.000
Cu Zn Ta Sn
1 1 1 1
Cartesian
4.888 4.888 4.888
3.258 3.258 3.258
1.629 1.629 1.629
0.000 0.000 0.000
```

No. 10
Here is TmMg2Pd after structural relaxation from OQMD via LeMat-Bulk. Energies are from PBE.

Output
Volume, Å³/atom: 20.9
Calculated total energy, Ry/atom: -0.2408

The structure in POSCAR format:
```
TmMg2Pd
1.0
-2.725 1.784 -0.797
-1.998 -1.061 4.456
2.119 4.096 1.925
Mg Pd Tm
2 1 1
Cartesian
-0.766 3.447 3.280
-0.839 1.904 0.077
-0.463 0.506 2.715
1.582 3.058 1.438
```

No. 11
Here is Y3Zn4B4C3 after structural relaxation from OQMD via LeMat-Bulk. Energies are from PBE.

Output
Volume, Å³/atom: 13.0
Calculated total energy, Ry/atom: -0.4312

The structure in POSCAR format:
```
Y3Zn4B4C3
1.0
-1.816 1.816 13.779
1.816 -1.816 13.779
1.816 1.816 -13.779
C Zn Y B
3 4 3 4
Cartesian
0.000 0.000 8.645
0.000 0.000 16.658
0.000 0.000 24.669
1.816 0.000 5.692
1.816 0.000 0.064
0.000 1.816 5.692
0.000 1.816 0.064
0.000 0.000 22.278
0.000 0.000 11.036
0.000 0.000 2.878
0.000 0.000 18.124
0.000 0.000 26.137
0.000 0.000 7.178
0.000 0.000 15.189
```

No. 12
Here is Sm4TlNi2Ge4 after structural relaxation from OQMD via LeMat-Bulk. Energies are from PBE.

Output
Volume, Å³/atom: 21.2
Calculated total energy, Ry/atom: -0.3937

The structure in POSCAR format:
```
Sm4TlNi2Ge4
1.0
7.932 -2.150 0.000
7.932 2.150 0.000
-2.301 0.000 6.828
Sm Ge Tl Ni
4 4 1 2
Cartesian
5.070 0.000 4.186
5.327 0.000 0.416
8.492 0.000 2.643
8.235 0.000 6.412
-0.462 0.000 4.486
2.680 0.000 1.955
10.882 0.000 4.873
14.024 0.000 2.342
0.000 0.000 0.000
1.930 0.000 4.402
11.632 0.000 2.426
```

No. 13
Here is Mg2Pa after structural relaxation from OQMD via LeMat-Bulk. Energies are from PBE.

Output
Volume, Å³/atom: 35.5
Calculated total energy, Ry/atom: -0.2393

The structure in POSCAR format:
```
Mg2Pa
1.0
-3.456 -7.305 3.158
6.791 -0.912 5.322
-1.355 1.499 1.986
Mg Pa
4 2
Cartesian
-1.663 -5.014 4.672
2.472 -6.090 6.284
3.643 -1.704 5.793
0.864 -2.128 2.196
0.000 0.000 0.000
0.990 -3.359 5.233
```

No. 14
Here is Na2ZnPdS4 after structural relaxation from OQMD via LeMat-Bulk. Energies are from PBE.

Output
Volume, Å³/atom: 21.6
Calculated total energy, Ry/atom: -0.2713

The structure in POSCAR format:
```
Na2ZnPdS4
1.0
-3.360 3.360 3.820
3.360 -3.360 3.820
3.360 3.360 -3.820
Na S Pd Zn
2 4 1 1
Cartesian
0.000 0.000 3.820
3.360 0.000 1.910
2.111 1.586 4.567
4.946 1.249 -0.747
1.249 1.774 0.747
-1.586 2.111 3.073
0.000 0.000 0.000
0.000 3.360 1.910
```

No. 15
Here is BeReSnSb after structural relaxation from OQMD via LeMat-Bulk. Energies are from PBE.

Output
Volume, Å³/atom: 17.8
Calculated total energy, Ry/atom: -0.3903

The structure in POSCAR format:
```
BeReSnSb
1.0
0.000 3.287 3.287
3.287 0.000 3.287
3.287 3.287 0.000
Sb Sn Be Re
1 1 1 1
Cartesian
0.000 0.000 0.000
3.287 3.287 3.287
4.931 4.931 4.931
1.644 1.644 1.644
```

No. 16
Here is BaH12Os2O6F12 after structural relaxation from OQMD via LeMat-Bulk. Energies are from PBE.

Output
Volume, Å³/atom: 9.5
Calculated total energy, Ry/atom: -0.3734

The structure in POSCAR format:
```
BaH12Os2O6F12
1.0
-7.261 2.785 3.271
-0.840 -0.965 9.349
0.274 8.930 3.835
H F O Ba Os
24 24 12 2 4
Cartesian
-6.932 9.364 15.395
-2.148 1.505 4.094
-5.752 7.430 9.931
-5.049 2.172 2.627
-5.477 9.348 13.915
-2.190 4.772 7.270
-2.968 7.451 4.131
-1.176 6.529 7.877
-2.682 5.488 10.938
-1.621 7.524 4.921
-0.896 1.387 1.061
-5.638 5.978 9.185
-6.652 4.221 8.577
-2.075 3.320 6.524
-2.779 8.578 13.828
-6.206 3.226 11.534
-2.327 5.932 8.854
-2.352 1.403 2.540
-5.679 9.246 12.360
-3.877 4.693 6.337
-5.146 5.262 5.516
-4.859 3.299 12.324
-3.950 6.057 10.117
-5.501 4.817 7.600
-5.261 9.403 9.157
-5.011 2.370 7.068
-7.211 5.322 10.838
-2.567 1.347 7.298
-0.619 0.392 5.690
-2.817 8.380 9.387
-0.924 6.207 3.065
0.046 8.063 4.800
-7.057 3.887 6.027
-4.989 2.986 4.538
-7.210 10.358 10.764
-1.273 3.782 9.557
-0.617 5.428 5.617
-1.233 2.886 4.955
-2.965 4.884 4.289
-6.243 7.084 14.067
-7.874 2.687 11.655
-2.838 7.765 11.916
-4.862 5.866 12.166
-0.770 6.864 10.428
-6.554 6.968 6.897
-6.594 7.864 11.500
-6.904 4.544 13.390
-1.584 3.666 2.388
-2.695 0.525 10.272
-2.562 7.789 4.955
-5.266 2.961 11.500
-2.088 6.175 7.902
-4.643 5.345 6.352
-2.749 1.152 3.415
-2.665 3.907 7.033
-5.133 10.225 6.183
-5.079 9.599 13.040
-3.184 5.405 10.103
-5.162 6.842 9.422
-5.741 4.574 8.554
-3.759 2.814 9.315
-4.068 7.936 7.140
-6.718 6.200 12.449
-6.267 2.185 5.677
-1.561 8.565 10.778
-1.109 4.550 4.006
```

No. 17
Here is ScAgPt2 after structural relaxation from OQMD via LeMat-Bulk. Energies are from PBE.

Output
Volume, Å³/atom: 17.2
Calculated total energy, Ry/atom: -0.4334

The structure in POSCAR format:
```
ScAgPt2
1.0
-0.116 0.405 4.576
1.354 3.912 1.996
-3.094 2.758 1.985
Sc Pt Ag
1 2 1
Cartesian
-0.464 1.769 2.139
-1.392 5.306 6.417
0.000 0.000 0.000
-0.928 3.537 4.278
```

No. 18
Here is LiDyNO after structural relaxation from OQMD via LeMat-Bulk. Energies are from PBE.

Output
Volume, Å³/atom: 14.0
Calculated total energy, Ry/atom: -0.4765

The structure in POSCAR format:
```
LiDyNO
1.0
-1.903 -3.295 0.000
0.000 0.000 4.527
-5.636 3.254 0.000
Dy N O Li
2 2 2 2
Cartesian
-3.962 2.287 4.254
-1.674 0.966 1.990
-1.963 1.133 4.251
-3.673 2.120 1.987
-1.756 -1.183 1.924
-5.782 1.141 4.188
-5.729 1.111 2.039
-1.809 -1.152 4.303
```

No. 19
Here is AlSiOs after structural relaxation from OQMD via LeMat-Bulk. Energies are from PBE.

Output
Volume, Å³/atom: 16.2
Calculated total energy, Ry/atom: -0.5141

The structure in POSCAR format:
```
AlSiOs
1.0
-2.126 -2.475 2.471
-1.371 1.386 3.598
-4.006 0.619 0.562
Al Si Os
1 1 1
Cartesian
-1.876 -0.117 1.658
-5.628 -0.352 4.974
0.000 0.000 0.000
```

No. 20
Here is CsTmMgS3 after structural relaxation from OQMD via LeMat-Bulk. Energies are from PBE.

Output
Volume, Å³/atom: 29.6
Calculated total energy, Ry/atom: -0.3598

The structure in POSCAR format:
```
CsTmMgS3
1.0
-5.877 0.327 -7.149
-1.069 -3.893 0.700
-4.489 2.777 8.580
Cs S Tm Mg
2 6 2 2
Cartesian
-4.853 1.144 4.940
-6.582 -1.932 -2.809
-2.170 -2.709 -0.391
-8.751 -0.866 -0.195
-6.521 -0.963 2.669
-9.264 1.920 2.522
-4.914 0.175 -0.538
-2.683 0.077 2.326
-4.426 -1.787 1.287
-7.008 0.999 0.844
-1.275 -0.632 0.533
-10.159 -0.157 1.597
```